VASP calculation (PBE-GGA) on a relaxed structure of NdZrPt4.

Its formation energy is -502 kJ/mol of formula units.

It has space group F-43m (No. 216), with a = 7.6751 Å, b = 7.6751 Å, c = 7.6751 Å, α = 90.00°, β = 90.00° and γ = 90.00°. The inequivalent atoms are Nd at (0.0000, 0.0000, 0.0000), Zr at (0.2500, 0.2500, 0.2500) and Pt at (0.1246, 0.1246, 0.6246).


VASP calculation (PBE-GGA) on a relaxed structure of NdZr2Pt9.

Its formation energy is -1148 kJ/mol of formula units.

It has space group P4/mmm (No. 123), with a = 4.1036 Å, b = 4.1036 Å, c = 12.3067 Å, α = 90.00°, β = 90.00° and γ = 90.00°. The inequivalent atoms are Nd at (0.0000, 0.0000, 0.0000), Zr at (0.0000, 0.0000, 0.3355), Pt at (0.0000, 0.5000, 0.1783), Pt at (0.0000, 0.5000, 0.5000), Pt at (0.5000, 0.5000, 0.0000) and Pt at (0.5000, 0.5000, 0.3390).


VASP calculation (PBE-GGA) on a relaxed structure of Nd5Pu.

Its formation energy is 53 kJ/mol of formula units.

It has space group Cmmm (No. 65), with a = 5.1234 Å, b = 15.3991 Å, c = 5.1612 Å, α = 90.00°, β = 90.00° and γ = 90.00°. The inequivalent atoms are Nd at (0.0000, 0.0000, 0.0000), Nd at (0.0000, 0.1629, 0.5000), Nd at (0.0000, 0.3367, 0.0000) and Pu at (0.0000, 0.5000, 0.5000).


VASP calculation (PBE-GGA) on a relaxed structure of NdPu5.

Its formation energy is 201 kJ/mol of formula units.

It has space group Cmmm (No. 65), with a = 5.6940 Å, b = 10.0965 Å, c = 5.4447 Å, α = 90.00°, β = 90.00° and γ = 90.00°. The inequivalent atoms are Nd at (0.0000, 0.0000, 0.0000), Pu at (0.0000, 0.1941, 0.5000), Pu at (0.0000, 0.3421, 0.0000) and Pu at (0.0000, 0.5000, 0.5000).


VASP calculation (PBE-GGA) on a relaxed structure of Nd3Pu.

Its formation energy is 44 kJ/mol of formula units.

It has space group P-6m2 (No. 187), with a = 3.6257 Å, b = 3.6257 Å, c = 11.7068 Å, α = 90.00°, β = 90.00° and γ = 120.00°. The inequivalent atoms are Nd at (0.0000, 0.0000, 0.0000), Nd at (0.6667, 0.3333, 0.2594) and Pu at (0.3333, 0.6667, 0.5000).


VASP calculation (PBE-GGA) on a relaxed structure of Nd3Pu.

Its formation energy is 54 kJ/mol of formula units.

It has space group I4/mmm (No. 139), with a = 5.0757 Å, b = 5.0757 Å, c = 10.2726 Å, α = 90.00°, β = 90.00° and γ = 90.00°. The inequivalent atoms are Nd at (0.0000, 0.0000, 0.0000), Nd at (0.0000, 0.5000, 0.2500) and Pu at (0.0000, 0.0000, 0.5000).


VASP calculation (PBE-GGA) on a relaxed structure of Nd3Pu.

Its formation energy is 58 kJ/mol of formula units.

It has space group Pmm2 (No. 25), with a = 3.6072 Å, b = 5.8823 Å, c = 6.3154 Å, α = 90.00°, β = 90.00° and γ = 90.00°. The inequivalent atoms are Nd at (0.0000, 0.0000, 0.0000), Nd at (0.0000, 0.5000, 0.3314), Nd at (0.5000, 0.0000, 0.5073) and Pu at (0.5000, 0.5000, 0.8290).


VASP calculation (PBE-GGA) on a relaxed structure of NdPu2.

Its formation energy is 72 kJ/mol of formula units.

It has space group Fd-3m (No. 227, origin choice 2), with a = 8.8182 Å, b = 8.8182 Å, c = 8.8182 Å, α = 90.00°, β = 90.00° and γ = 90.00°. The inequivalent atoms are Nd at (0.1250, 0.1250, 0.1250) and Pu at (0.0000, 0.0000, 0.5000).


VASP calculation (PBE-GGA) on a relaxed structure of NdPu.

Its formation energy is 45 kJ/mol of formula units.

It has space group P2_1/m (No. 11), with a = 3.2543 Å, b = 3.5739 Å, c = 9.1425 Å, α = 90.00°, β = 92.35° and γ = 90.00°. The inequivalent atoms are Nd at (0.2459, 0.2500, 0.3398) and Pu at (0.3551, 0.2500, 0.9365).


VASP calculation (PBE-GGA) on a relaxed structure of Nd3Pu.

Its formation energy is 54 kJ/mol of formula units.

It has space group Imm2 (No. 44), with a = 3.6340 Å, b = 11.7301 Å, c = 6.2935 Å, α = 90.00°, β = 90.00° and γ = 90.00°. The inequivalent atoms are Nd at (0.0000, 0.0000, 0.0000), Nd at (0.0000, 0.2424, 0.6492) and Pu at (0.0000, 0.5000, 0.9873).


VASP calculation (PBE-GGA) on a relaxed structure of Rb4Nd3PuS8.

For the formation energy from raw total energies, the calculation gives -1746 meV per atom.

It has space group R-3m (No. 166, hexagonal axes), with a = 8.4299 Å, b = 8.4299 Å, c = 23.0820 Å, α = 90.00°, β = 90.00° and γ = 120.00°. The inequivalent atoms are Rb at (0.0000, 0.0000, 0.0000), Rb at (0.0000, 0.5000, 0.0000), Nd at (0.0000, 0.5000, 0.5000), Pu at (0.0000, 0.0000, 0.5000), S at (0.0000, 0.0000, 0.2328) and S at (0.0043, 0.5021, 0.2316).


VASP calculation (PBE-GGA) on a relaxed structure of Rb4NdPu3Se8.

For the formation energy from raw total energies, the calculation gives -1512 meV per atom.

It has space group R-3m (No. 166, hexagonal axes), with a = 8.6722 Å, b = 8.6722 Å, c = 23.9023 Å, α = 90.00°, β = 90.00° and γ = 120.00°. The inequivalent atoms are Rb at (0.0000, 0.0000, 0.0000), Rb at (0.0000, 0.5000, 0.0000), Nd at (0.0000, 0.0000, 0.5000), Pu at (0.0000, 0.5000, 0.5000), Se at (0.0000, 0.0000, 0.2308) and Se at (0.0044, 0.5022, 0.7675).